No. 1
The following is a DFT calculation (PBE) of a relaxed ErSc3Ru3 crystal.

Output
Formation enthalpy at 0 K in eV per atom: -0.4754

a b c (Å): 9.1829 9.1829 5.4692
angles (deg): 90.00 90.00 120.00
Space group R3m (No. 160, hexagonal axes)
Symmetry-distinct sites (fractional):
Er 0.0000 0.0000 0.0000 [3 per cell]
Sc 0.0564 0.5282 0.1176 [9 per cell]
Ru 0.1687 0.3373 0.9255 [9 per cell]

---

No. 2
The following is a DFT calculation (PBE) of a relaxed MgURh5 crystal.

Output
Formation enthalpy at 0 K in eV per atom: -0.2605

a b c (Å): 4.380 4.380 6.216
angles (deg): 90.00 90.00 90.00
Space group P4/mmm (No. 123)
Symmetry-distinct sites (fractional):
Mg 0.000 0.000 0.000 [1 per cell]
U 0.500 0.500 0.500 [1 per cell]
Rh 0.000 0.500 0.275 [4 per cell]
Rh 0.500 0.500 0.000 [1 per cell]

---

No. 3
The following is a DFT calculation (PBE) of a relaxed Na2Er2TcO6 crystal.

Output
Formation energy from raw total energies in kJ/mol of formula units: -2552

a b c (Å): 5.714 9.848 5.875
angles (deg): 90.00 105.97 90.00
Space group C2/m (No. 12)
Symmetry-distinct sites (fractional):
Na 0.000 0.153 0.000 [4 per cell]
Er 0.000 0.336 0.500 [4 per cell]
Tc 0.000 0.000 0.500 [2 per cell]
O 0.207 0.159 0.694 [8 per cell]
O 0.246 0.000 0.302 [4 per cell]

---

No. 4
The following is a DFT calculation (PBE) of a relaxed As2PdSeBr crystal.

Output
ΔE to the lowest computed polymorph in meV/atom: 427
Formation energy from raw total energies in kJ/mol of formula units: 468

a b c (Å): 5.072 5.072 5.127
angles (deg): 90.00 90.00 90.00
Space group P4/mmm (No. 123)
Symmetry-distinct sites (fractional):
As 0.000 0.500 0.000 [2 per cell]
Pd 0.000 0.000 0.500 [1 per cell]
Se 0.500 0.500 0.000 [1 per cell]
Br 0.500 0.500 0.500 [1 per cell]

---

No. 5
The following is a DFT calculation (PBE) of a relaxed Rb3PaTe4 crystal.

Output
ΔE to the lowest computed polymorph in meV/atom: 0
Formation energy from raw total energies in kJ/mol of formula units: -775

a b c (Å): 10.370 14.260 4.750
angles (deg): 90.00 90.00 90.00
Space group Cmmm (No. 65)
Symmetry-distinct sites (fractional):
Rb 0.000 0.000 0.000 [2 per cell]
Rb 0.250 0.250 0.500 [4 per cell]
Pa 0.000 0.500 0.000 [2 per cell]
Te 0.000 0.294 0.000 [4 per cell]
Te 0.196 0.500 0.500 [4 per cell]

---

No. 6
The following is a DFT calculation (PBE) of a relaxed PrSn2Hg2 crystal.

Output
Formation enthalpy at 0 K in eV per atom: -0.3583
ΔE to the lowest computed polymorph in meV/atom: 0

a b c (Å): 4.678 24.841 4.520
angles (deg): 90.00 90.00 90.00
Space group Cmcm (No. 63)
Symmetry-distinct sites (fractional):
Pr 0.000 0.146 0.250 [4 per cell]
Sn 0.000 0.250 0.750 [4 per cell]
Sn 0.000 0.359 0.250 [4 per cell]
Hg 0.000 0.044 0.750 [4 per cell]
Hg 0.000 0.453 0.750 [4 per cell]

---

No. 7
The following is a DFT calculation (PBE) of a relaxed Er6Ir2Ru crystal.

Output
Formation enthalpy at 0 K in eV per atom: -0.6086
ΔE to the lowest computed polymorph in meV/atom: 0

a b c (Å): 4.750 6.723 14.247
angles (deg): 90.00 90.00 90.00
Space group Immm (No. 71)
Symmetry-distinct sites (fractional):
Er 0.000 0.249 0.000 [4 per cell]
Er 0.000 0.251 0.334 [8 per cell]
Ir 0.000 0.500 0.167 [4 per cell]
Ru 0.000 0.500 0.500 [2 per cell]

---

No. 8
The following is a DFT calculation (PBE) of a relaxed Er4CdIrRu2 crystal.

Output
Formation enthalpy at 0 K in eV per atom: -0.5142

a b c (Å): 4.8731 4.8731 24.0072
angles (deg): 90.00 90.00 120.00
Space group R-3m (No. 166, hexagonal axes)
Symmetry-distinct sites (fractional):
Er 0.0000 0.0000 0.1193 [6 per cell]
Er 0.0000 0.0000 0.3709 [6 per cell]
Cd 0.0000 0.0000 0.5000 [3 per cell]
Ir 0.0000 0.0000 0.0000 [3 per cell]
Ru 0.0000 0.0000 0.2488 [6 per cell]

---

Number 1: ρ 7.55 g cm⁻³. Number 2: ρ 10.82 g cm⁻³. Number 3: ρ 6.00 g cm⁻³. Number 4: ρ 5.23 g cm⁻³. Number 5: ρ 4.72 g cm⁻³. Number 6: ρ 9.86 g cm⁻³. Number 7: ρ 10.87 g cm⁻³. Number 8: ρ 11.86 g cm⁻³.